DFT (PBE) results for SrTiP2O8 after structural relaxation.

Cell: 5.466 7.277 9.152 Å, 107.53 100.77 99.29°
Fractional coordinates of all 24 atoms:
1 O 0.728 0.011 0.131
2 O 0.272 0.989 0.869
3 O 0.819 0.552 0.871
4 O 0.619 0.979 0.382
5 O 0.945 0.085 0.688
6 O 0.512 0.391 0.604
7 O 0.181 0.448 0.129
8 O 0.381 0.021 0.618
9 O 0.988 0.755 0.583
10 O 0.012 0.245 0.417
11 O 0.656 0.463 0.159
12 O 0.344 0.537 0.841
13 O 0.603 0.761 0.731
14 O 0.488 0.609 0.396
15 O 0.055 0.915 0.312
16 O 0.397 0.239 0.269
17 P 0.842 0.037 0.302
18 P 0.569 0.561 0.772
19 P 0.431 0.439 0.228
20 P 0.158 0.963 0.698
21 Sr 0.774 0.230 0.953
22 Sr 0.226 0.770 0.047
23 Ti 0.337 0.167 0.441
24 Ti 0.663 0.833 0.559

Properties
Space group = P-1
Final energy = -7.623 eV/atom
E_form (uncorrected) = -31.41 eV per formula unit
Density = 3.26 g/cm3